(1)
DFT (PBE-GGA) results for crystalline LiTl2Pb2 at its relaxed geometry.

The structure belongs to space group P4/mbm (No. 127); the cell edges are 7.804, 7.804 and 4.936 Å and the angles 90.00°, 90.00° and 90.00°. The asymmetric unit holds Li at (0.000, 0.000, 0.000), Tl at (0.158, 0.342, 0.500) and Pb at (0.149, 0.649, 0.000).

The formation enthalpy at 0 K is 0.009 eV per atom. Its excess energy over the best structure of this formula in the dataset is 85 meV/atom. Its total moment is 0.00 μB per cell.



(2)
DFT (PBE-GGA) results for crystalline KCd6 at its relaxed geometry.

The structure belongs to space group Pm-3m (No. 221); the cell edges are 6.962, 6.962 and 6.962 Å and the angles 90.00°, 90.00° and 90.00°. The asymmetric unit holds K at (0.000, 0.000, 0.000) and Cd at (0.196, 0.500, 0.500).

The formation enthalpy at 0 K is 0.228 eV per atom. Its excess energy over the best structure of this formula in the dataset is 291 meV/atom. Its total moment is 0.00 μB per cell.



(3)
DFT (PBE-GGA) results for crystalline BaLa2Zn2Sn2 at its relaxed geometry.

The structure belongs to space group R-3m (No. 166, hexagonal axes); the cell edges are 4.8147, 4.8147 and 31.5763 Å and the angles 90.00°, 90.00° and 120.00°. The asymmetric unit holds Ba at (0.0000, 0.0000, 0.0000), La at (0.0000, 0.0000, 0.1349), Zn at (0.0000, 0.0000, 0.4237) and Sn at (0.0000, 0.0000, 0.2569).

The formation enthalpy at 0 K is -0.418 eV per atom. Its total moment is 0.00 μB per cell.



(4)
DFT (PBE-GGA) results for crystalline CsNdMnCl6 at its relaxed geometry.

The structure belongs to space group Imma (No. 74); the cell edges are 9.420, 10.050 and 13.859 Å and the angles 90.00°, 90.00° and 90.00°. The asymmetric unit holds Cs at (0.000, 0.250, 0.043), Nd at (0.000, 0.000, 0.500), Mn at (0.250, 0.250, 0.750), Cl at (0.000, 0.250, 0.414), Cl at (0.000, 0.250, 0.794) and Cl at (0.221, 0.066, 0.620).

As for the uncorrected formation energy: -1.80 eV/atom. Its total moment is 20.00 μB per cell.